1.
A plane-wave DFT calculation with PBE was carried out for a relaxed HoSbN2 crystal.

Geometry as POSCAR:
```
HoSbN2
1.0
3.536 0.000 0.000
1.768 3.062 0.000
1.768 1.021 6.414
Sb Ho N
1 1 2
direct
0.000 0.000 0.000
0.500 0.500 0.500
0.105 0.105 0.685
0.895 0.895 0.315
```

## Properties
Uncorrected formation energy   -361 meV/atom
Symmetry   R-3m

---

2.
A plane-wave DFT calculation with PBE was carried out for a relaxed BaPm2Tm crystal.

Geometry as POSCAR:
```
BaPm2Tm
1.0
3.747 0.000 0.000
0.000 3.747 0.000
0.000 0.000 10.776
Tm Ba Pm
1 1 2
direct
0.500 0.500 0.000
0.500 0.500 0.500
0.000 0.000 0.785
0.000 0.000 0.215
```

## Properties
Offset from the most stable computed form   0.000 eV per atom
Symmetry   P4/mmm
Energy relative to the elements   128 meV/atom

---

3.
A plane-wave DFT calculation with PBE was carried out for a relaxed HfIn2TcAg crystal.

Geometry as POSCAR:
```
HfIn2TcAg
1.0
-2.204 -4.512 -1.394
2.793 -0.144 -3.951
3.642 -2.603 2.669
Hf Tc Ag In
1 1 1 2
direct
0.000 0.500 0.000
0.000 0.000 0.000
0.500 0.500 0.500
0.000 0.000 0.500
0.500 0.000 0.000
```

## Properties
Symmetry   P4/mmm
Energy relative to the elements   473 meV/atom

---

no.,theoretical density (Mg/m³),spin magnetization (μB per atom)
1,7.5,0.000
2,6.5,0.000
3,7.8,0.000